# NaMn2O4 | Alexandria via LeMat-Bulk | PBE+U | relaxed
data_NaMn2O4
_chemical_formula_sum 'Na4 Mn8 O16'
_cell_length_a 5.948
_cell_length_b 6.022
_cell_length_c 9.190
_cell_angle_alpha 90.00
_cell_angle_beta 90.00
_cell_angle_gamma 90.00
_symmetry_space_group_name_H-M 'I m m a'
_symmetry_Int_Tables_number 74
_symmetry_space_group_name_Hall '-I 2b 2'
loop_
_atom_site_label
_atom_site_type_symbol
_atom_site_fract_x
_atom_site_fract_y
_atom_site_fract_z
_atom_site_occupancy
Na1 Na 0.000 0.250 0.115 1
Mn1 Mn 0.000 0.000 0.500 1
Mn2 Mn 0.250 0.250 0.750 1
O1 O 0.000 0.041 0.745 1
O2 O 0.215 0.250 0.535 1
# - VASP energy (eV per atom) = -6.7038